1.
A relaxed CsCr3Rh crystal, computed with PBE.

* raw total energy: -4.3089 eV/atom
* density of states at the Fermi level: 11.10 states/eV/f.u.
* ρ: 6.78 g cm⁻³

Cell lengths 4.579, 4.579, 4.579 Å; angles 90.00, 90.00, 90.00 degrees
Space group Pm-3m (No. 221)
One atom of each set of equivalent atoms:
Cs1 0.000 0.000 0.000 [1 per cell]
Cr1 0.000 0.000 0.500 [3 per cell]
Rh1 0.500 0.500 0.500 [1 per cell]

2.
A relaxed CaPuGePb crystal, computed with PBE.

* raw total energy: -6.4418 eV/atom
* density of states at the Fermi level: 11.69 states/eV/f.u.
* ρ: 8.74 g cm⁻³

Cell lengths 7.540, 7.540, 7.540 Å; angles 90.00, 90.00, 90.00 degrees
Space group F-43m (No. 216)
One atom of each set of equivalent atoms:
Ca1 0.000 0.000 0.000 [4 per cell]
Pu1 0.000 0.000 0.500 [4 per cell]
Ge1 0.250 0.250 0.750 [4 per cell]
Pb1 0.250 0.250 0.250 [4 per cell]

3.
A relaxed Cd2RhAu crystal, computed with PBE.

* raw total energy: -3.1648 eV/atom
* density of states at the Fermi level: 2.97 states/eV/f.u.
* ρ: 11.98 g cm⁻³

Cell lengths 3.0150, 3.0150, 27.7085 Å; angles 90.00, 90.00, 120.00 degrees
Space group R-3m (No. 166, hexagonal axes)
One atom of each set of equivalent atoms:
Cd1 0.0000 0.0000 0.2461 [6 per cell]
Rh1 0.0000 0.0000 0.5000 [3 per cell]
Au1 0.0000 0.0000 0.0000 [3 per cell]

4.
A relaxed TaReSi2 crystal, computed with PBE.

* formation energy from raw total energies: 0.011 eV/atom
* raw total energy: -8.7753 eV/atom
* density of states at the Fermi level: 2.33 states/eV/f.u.
* ρ: 11.56 g cm⁻³

Cell lengths 2.953, 4.934, 8.347 Å; angles 90.00, 90.00, 90.00 degrees
Space group Immm (No. 71)
One atom of each set of equivalent atoms:
Ta1 0.000 0.000 0.000 [2 per cell]
Re1 0.000 0.000 0.500 [2 per cell]
Si1 0.000 0.500 0.237 [4 per cell]

5.
A relaxed Tb2MgZn4Ga3 crystal, computed with PBE.

* raw total energy: -2.9015 eV/atom
* density of states at the Fermi level: 3.68 states/eV/f.u.
* ρ: 7.08 g cm⁻³

Cell lengths 4.185, 4.185, 10.884 Å; angles 90.00, 90.00, 90.00 degrees
Space group P-4m2 (No. 115)
One atom of each set of equivalent atoms:
Tb1 0.000 0.500 0.236 [2 per cell]
Mg1 0.000 0.000 0.500 [1 per cell]
Zn1 0.000 0.000 0.000 [1 per cell]
Zn2 0.000 0.500 0.645 [2 per cell]
Zn3 0.500 0.500 0.000 [1 per cell]
Ga1 0.000 0.500 0.865 [2 per cell]
Ga2 0.500 0.500 0.500 [1 per cell]

6.
A relaxed Si2TeIr crystal, computed with PBE.

* formation energy from raw total energies: 0.575 eV/atom
* raw total energy: -5.1375 eV/atom
* density of states at the Fermi level: 2.04 states/eV/f.u.
* ρ: 8.90 g cm⁻³

Cell lengths 3.005, 4.726, 4.941 Å; angles 90.00, 90.00, 90.00 degrees
Space group Pmmm (No. 47)
One atom of each set of equivalent atoms:
Si1 0.000 0.000 0.000 [1 per cell]
Si2 0.500 0.500 0.000 [1 per cell]
Te1 0.000 0.500 0.500 [1 per cell]
Ir1 0.500 0.000 0.500 [1 per cell]

7.
A relaxed GaCoTc3 crystal, computed with PBE.

* offset from the most stable computed form: 602 meV/atom
* raw total energy: -6.3954 eV/atom
* density of states at the Fermi level: 12.81 states/eV/f.u.
* ρ: 7.92 g cm⁻³

Cell lengths 4.458, 4.458, 4.458 Å; angles 90.00, 90.00, 90.00 degrees
Space group Pm-3m (No. 221)
One atom of each set of equivalent atoms:
Ga1 0.000 0.000 0.000 [1 per cell]
Co1 0.500 0.500 0.500 [1 per cell]
Tc1 0.000 0.000 0.500 [3 per cell]

8.
A relaxed Cu3AuI crystal, computed with PBE.

* formation energy from raw total energies: 0.659 eV/atom
* offset from the most stable computed form: 0 meV/atom
* raw total energy: -2.7644 eV/atom
* density of states at the Fermi level: 2.83 states/eV/f.u.
* ρ: 7.43 g cm⁻³

Cell lengths 4.862, 4.862, 4.862 Å; angles 90.00, 90.00, 90.00 degrees
Space group Pm-3m (No. 221)
One atom of each set of equivalent atoms:
Cu1 0.000 0.000 0.500 [3 per cell]
Au1 0.000 0.000 0.000 [1 per cell]
I1 0.500 0.500 0.500 [1 per cell]